Material: Er7Sc3
Method: DFT, PBE-GGA
State: relaxed

Calculated values
Crystal system: monoclinic
Total magnetization, μB/f.u.: 0.00
ΔE_f, meV per atom: 43
VASP energy, eV/atom: -5.050
Energy relative to the lowest polymorph listed for this composition, eV/f.u.: 0.00
DOS(E_F), states/eV/f.u.: 15.1

a = 4.848 Å, b = 6.871 Å, c = 9.084 Å
α = 101.18°, β = 105.48°, γ = 90.00°
Atoms (fractional coordinates):
Er 0.398 0.698 0.797
Er 0.401 0.200 0.801
Er 0.800 0.897 0.599
Er 0.599 0.800 0.199
Er 0.200 0.103 0.401
Er 0.000 0.500 0.000
Er 0.602 0.302 0.203
Sc 0.798 0.400 0.596
Sc 0.202 0.600 0.404
Sc 0.000 0.000 0.000



Material: Na2HfSbC
Method: DFT, PBE-GGA
State: relaxed

Calculated values
Crystal system: tetragonal
Total magnetization, μB/f.u.: 3.00
VASP energy, eV/atom: -3.264
Energy relative to the elements, uncorrected, eV/atom: 1.923
DOS(E_F), states/eV/f.u.: 4.7

a = 6.590 Å, b = 5.357 Å, c = 6.590 Å
α = 90.00°, β = 90.00°, γ = 90.00°
Last column: magnetic moment on the atom in μB.
Atoms (fractional coordinates):
Na 0.500 0.000 0.000  0.01
Na 0.000 0.000 0.500  0.01
Hf 0.000 0.000 0.000  0.26
C 0.500 0.500 0.500  1.07
Sb 0.000 0.500 0.000  -0.01



Material: Ca2AcH8
Method: DFT, PBE-GGA
State: relaxed

Calculated values
Crystal system: orthorhombic
Total magnetization, μB/f.u.: 0.00
VASP energy, eV/atom: -3.553
DOS(E_F), states/eV/f.u.: 1.9

a = 3.900 Å, b = 5.330 Å, c = 6.875 Å
α = 112.81°, β = 106.48°, γ = 90.00°
Atoms (fractional coordinates):
Ac 0.500 0.000 0.000
H 0.852 0.852 0.704
H 0.333 0.102 0.667
H 0.333 0.565 0.667
H 0.148 0.148 0.296
H 0.667 0.898 0.333
H 0.000 0.296 0.000
H 0.000 0.704 0.000
H 0.667 0.435 0.333
Ca 0.817 0.317 0.633
Ca 0.183 0.683 0.367